A plane-wave DFT calculation with PBE was carried out for an optimized crystal structure of In15Hg2Bi2.

Calculated values
The value obtained for the total energy is -2.52 eV per atom. The crystal system is trigonal.

Geometry as extended XYZ:
```
19
Lattice="-5.875 6.322 -1.393 -2.994 -0.201 -8.211 -8.117 -3.228 -0.341" Properties=species:S:1:pos:R:3 pbc="T T T"
In -4.059 -1.614 -0.171
In -3.866 1.774 -6.147
In -6.658 2.975 -5.659
In -1.497 -0.100 -4.105
In -5.003 4.347 -3.457
Hg -1.747 0.298 -1.023
In -2.938 3.161 -0.696
In -4.545 -1.117 -5.829
In -6.554 3.431 -1.074
In -6.566 -2.312 -2.723
In -7.553 -0.838 -5.239
Bi -5.640 0.960 -3.302
In -7.439 -0.337 -0.660
Hg -15.240 2.595 -8.922
Bi -11.347 1.932 -6.643
In -8.283 1.127 -7.428
In -10.329 -0.082 -4.286
In -8.704 1.766 -2.517
In -9.433 3.731 -4.705
```

A plane-wave DFT calculation with PBE was carried out for an optimized crystal structure of In16Hg7Bi6.

Calculated values
The value obtained for the total energy is -2.31 eV per atom. The crystal system is cubic.

Geometry as extended XYZ:
```
29
Lattice="4.988 -9.098 2.128 -4.208 -6.862 6.885 -4.016 -9.174 -3.450" Properties=species:S:1:pos:R:3 pbc="T T T"
In -2.003 -7.360 -0.412
In -2.002 -15.550 3.442
In 1.134 -13.903 3.131
In -2.728 -21.190 4.690
In -0.004 -12.292 0.173
In -2.074 -6.499 3.436
Bi -3.343 -8.766 5.515
In -1.234 -9.584 2.121
Hg 0.390 -7.980 4.506
Hg -1.618 -12.567 2.781
In 1.350 -7.332 1.665
Bi -6.019 -14.878 3.217
Hg -2.008 -4.587 -1.725
In -0.095 -11.195 5.079
Hg 0.486 -9.136 -0.661
Hg -4.112 -8.018 1.717
In -4.370 -11.231 2.431
Bi 0.108 -16.368 0.047
In -1.233 -17.774 5.975
In -0.508 -3.944 0.873
Bi -0.020 -14.828 6.933
Hg 2.494 -4.549 1.064
In -3.231 -12.841 5.389
In -4.585 -17.802 3.898
Bi -3.216 -10.306 -1.370
In -1.161 -18.635 2.126
In -3.140 -13.939 0.484
Bi 2.783 -10.256 2.346
Hg -2.104 -3.431 3.442
```

A plane-wave DFT calculation with PBE was carried out for an optimized crystal structure of In12HgBi6.

Calculated values
The value obtained for the total energy is -2.90 eV per atom. The crystal system is trigonal. For the offset from the most stable computed form, the calculation gives 2 meV/atom.

Geometry as extended XYZ:
```
19
Lattice="-4.074 -7.167 0.826 5.493 -3.307 -5.246 4.798 -1.549 6.574" Properties=species:S:1:pos:R:3 pbc="T T T"
Bi 1.232 -8.361 4.001
Bi 2.936 -3.586 4.494
Bi 7.084 -5.629 2.357
In 3.918 -10.596 0.403
In 1.900 -8.144 0.850
In 1.166 -5.310 2.416
Bi -0.867 -6.394 -0.204
In 4.483 -9.730 3.610
In 1.735 -2.294 -1.456
In 4.125 -6.563 3.250
In 2.300 -1.427 1.751
In 2.092 -5.460 -1.096
In -0.537 -3.043 0.917
In 6.755 -8.980 1.237
Bi 3.281 -8.437 -2.341
In 5.051 -6.713 -0.262
Bi 4.986 -3.662 -1.847
Hg 0.000 0.000 0.000
In 4.317 -3.880 1.304
```